Record 1
Tl4CdAu | Alexandria via LeMat-Bulk | GGA-PBE | optimized geometry; energy above the lowest structure with this stoichiometry = 0 kJ/mol of formula units; calculated formation energy = -0.0003 eV/atom
1.0
-3.723 3.723 6.070
3.723 -3.723 6.070
3.723 3.723 -6.070
Tl Cd Au
8 2 2
direct
0.018 0.518 0.808 Tl
0.209 0.018 0.500 Tl
0.291 0.791 0.808 Tl
0.482 0.291 0.500 Tl
0.518 0.709 0.500 Tl
0.709 0.209 0.192 Tl
0.791 0.982 0.500 Tl
0.982 0.482 0.192 Tl
0.000 0.000 0.000 Cd
0.500 0.500 0.000 Cd
0.250 0.250 0.000 Au
0.750 0.750 0.000 Au


Record 2
In | Alexandria via LeMat-Bulk | GGA-PBE | optimized geometry; energy above the lowest structure with this stoichiometry = 7 kJ/mol of formula units; calculated formation energy = 0.0697 eV/atom
1.0
8.539 0.000 0.000
-4.269 7.395 0.000
0.000 0.000 5.550
In
12
direct
0.070 0.817 0.250 In
0.093 0.604 0.750 In
0.183 0.253 0.250 In
0.253 0.070 0.750 In
0.396 0.489 0.750 In
0.489 0.093 0.250 In
0.511 0.907 0.750 In
0.604 0.511 0.250 In
0.747 0.930 0.250 In
0.817 0.747 0.750 In
0.907 0.396 0.250 In
0.930 0.183 0.750 In


Record 3
AcH2Pt | Alexandria via LeMat-Bulk | GGA-PBE | optimized geometry; energy above the lowest structure with this stoichiometry = 0 kJ/mol of formula units
1.0
2.279 1.316 3.788
-2.279 1.316 3.788
0.000 -2.631 3.788
Ac H Pt
1 2 1
direct
0.000 0.000 0.000 Ac
0.353 0.353 0.353 H
0.647 0.647 0.647 H
0.500 0.500 0.500 Pt